Entry 1:
## CsBeBi (PBE)

Data for an optimized crystal structure of CsBeBi.

Results
density of states at the Fermi level = 0.000 states/eV/atom
VASP energy = -16.72 eV for the cell shown
symmetry = No. 1
formation energy from the elements = 0.0334 eV/atom
magnetization = 0.0 μB per formula unit

abc: 5.212 6.305 8.813
angles: 69.05 89.88 90.00
Positions (direct):
Cs (0.000, 0.000, 0.000)
Cs (0.498, 0.732, 0.529)
Be (0.251, 0.365, 0.265)
Be (0.751, 0.368, 0.263)
Bi (0.500, 0.491, 0.019)
Bi (0.998, 0.241, 0.509)

Entry 2:
## Sr4SiSe (PBE)

Data for an optimized crystal structure of Sr4SiSe.

Results
density of states at the Fermi level = 0.424 states/eV/atom
VASP energy = -13.66 eV for the cell shown
symmetry = No. 216
formation energy without anion corrections = 329 meV per atom
magnetization = 0.0 μB per formula unit

abc: 6.710 6.710 6.710
angles: 60.00 60.00 60.00
Positions (direct):
Sr (0.125, 0.125, 0.125)
Sr (0.125, 0.125, 0.624)
Sr (0.125, 0.624, 0.125)
Sr (0.624, 0.125, 0.125)
Si (0.500, 0.500, 0.500)
Se (0.750, 0.750, 0.750)